No. 1
VASP calculation (PBE-GGA) on a relaxed structure of Be2AlIr.

Calculated values
Spin magnetization: 0.00 Bohr magnetons per cell
Calculated volume: 45 Å³ per cell
Fermi-level density of states: 0.88 states/eV/cell

Unit cell a=3.6152 b=2.7747 c=4.6947 alpha=72.73 beta=90.00 gamma=90.00
Last column: nearest neighbours and their distance in Å.
Atoms (fractional coordinates):
Ir1 0.0000 0.4607 0.4533  7 Be 2.43-2.49, 4 Al 2.71
Be1 0.5000 0.0597 0.2565  2 Be 2.12, 1 Al 2.35
Be2 0.0000 0.1829 0.0089  2 Be 2.12
Al1 0.5000 0.7967 0.7813  7 Be 2.35-2.54


No. 2
VASP calculation (PBE-GGA) on a relaxed structure of BeAlIr2.

Calculated values
Spin magnetization: 0.00 Bohr magnetons per cell
Calculated volume: 53 Å³ per cell
Fermi-level density of states: 2.50 states/eV/cell

Unit cell a=4.2664 b=4.2664 c=4.7726 alpha=74.56 beta=74.56 gamma=39.07
Last column: nearest neighbours and their distance in Å.
Atoms (fractional coordinates):
Be1 0.2500 0.2500 0.2500  4 Ir 2.37
Al1 0.7500 0.7500 0.7500  6 Ir 2.57-2.59, 4 Be 2.78, 2 Al 2.85
Ir1 0.9847 0.9847 0.0215  2 Be 2.37, 3 Al 2.57-2.59
Ir2 0.5153 0.5153 0.4785  2 Be 2.37, 3 Al 2.57-2.59


No. 3
VASP calculation (PBE-GGA) on a relaxed structure of BeAl3Ir.

Calculated values
Spin magnetization: 0.00 Bohr magnetons per cell
Calculated volume: 74 Å³ per cell
Fermi-level density of states: 1.43 states/eV/cell

Unit cell a=4.1974 b=4.1974 c=4.1974 alpha=90.00 beta=90.00 gamma=90.00
Last column: nearest neighbours and their distance in Å.
Atoms (fractional coordinates):
Al1 0.0000 0.5000 0.0000  2 Be 2.10
Al2 0.5000 0.0000 0.0000  2 Be 2.10
Al3 0.0000 0.0000 0.5000  2 Be 2.10
Ir1 0.5000 0.5000 0.5000  12 Al 2.97
Be1 0.0000 0.0000 0.0000  6 Al 2.10


| no. | energy of formation (eV per atom) |
| --- | --- |
| 1 | -0.38 |
| 2 | -0.47 |
| 3 | 0.39 |